(a)
DFT (GGA-PBE) results for a geometry-optimized MgAg2O4 structure.

abc: 6.3313 10.9446 5.5782
angles: 90.00 90.00 90.00
Closest atoms and distances in Å follow each position.
Positions (direct):
Mg 0.2500 0.2500 0.0827  6 O 2.10-2.16
Mg 0.2500 0.7500 0.3626  6 O 2.01-2.13
Mg 0.7500 0.2500 0.6374  6 O 2.01-2.13
Mg 0.7500 0.7500 0.9173  6 O 2.10-2.16
Ag 0.0000 0.0000 0.5000  4 O 2.10-2.22
Ag 0.0000 0.5000 0.5000  4 O 2.10-2.22
Ag 0.2500 0.5347 0.9655  2 O 2.19
Ag 0.2500 0.9653 0.9655  2 O 2.19
Ag 0.5000 0.0000 0.5000  4 O 2.10-2.22
Ag 0.5000 0.5000 0.5000  4 O 2.10-2.22
Ag 0.7500 0.0347 0.0345  2 O 2.19
Ag 0.7500 0.4653 0.0345  2 O 2.19
O 0.0021 0.1822 0.8533  1 O 1.48
O 0.0021 0.3178 0.8533  1 O 1.48
O 0.2500 0.0860 0.2788  1 Mg 2.10, 3 Ag 2.19-2.22
O 0.2500 0.4140 0.2788  1 Mg 2.10, 3 Ag 2.19-2.22
O 0.2500 0.6141 0.6052  1 Mg 2.01, 3 Ag 2.10-2.19
O 0.2500 0.8859 0.6052  1 Mg 2.01, 3 Ag 2.10-2.19
O 0.4979 0.1822 0.8533  1 O 1.48
O 0.4979 0.3178 0.8533  1 O 1.48
O 0.5021 0.6822 0.1467  1 O 1.48
O 0.5021 0.8178 0.1467  1 O 1.48
O 0.7500 0.1141 0.3948  1 Mg 2.01, 3 Ag 2.10-2.19
O 0.7500 0.3859 0.3948  1 Mg 2.01, 3 Ag 2.10-2.19
O 0.7500 0.5860 0.7212  1 Mg 2.10, 3 Ag 2.19-2.22
O 0.7500 0.9140 0.7212  1 Mg 2.10, 3 Ag 2.19-2.22
O 0.9979 0.6822 0.1467  1 O 1.48
O 0.9979 0.8178 0.1467  1 O 1.48

## Properties
Density of states at the Fermi level, states/eV/f.u.: 4.6
Space-group type: Pmmn

---

(b)
DFT (GGA-PBE) results for a geometry-optimized MgAg2O4 structure.

abc: 6.1351 6.1351 6.1351
angles: 115.23 113.50 100.08
Closest atoms and distances in Å follow each position.
Positions (direct):
Mg 0.5000 0.0000 0.0000  6 O 2.11-2.12
Mg 0.5000 0.5000 0.5000  6 O 2.11-2.12
Ag 0.0000 0.0000 0.0000  6 O 2.09-2.16
Ag 0.1041 0.3541 0.7500  4 O 2.17-2.20
Ag 0.5000 0.0000 0.5000  6 O 2.09-2.16
Ag 0.8959 0.6459 0.2500  4 O 2.17-2.20
O 0.2337 0.1879 0.4542  1 Mg 2.12, 3 Ag 2.16-2.20
O 0.2337 0.7794 0.0458  1 Mg 2.12, 3 Ag 2.16-2.20
O 0.2918 0.7389 0.5530  2 Ag 2.09-2.17, 2 Mg 2.11
O 0.3141 0.2611 0.0530  2 Ag 2.09-2.17, 2 Mg 2.11
O 0.6859 0.7389 0.9470  2 Ag 2.09-2.17, 2 Mg 2.11
O 0.7082 0.2611 0.4470  2 Ag 2.09-2.17, 2 Mg 2.11
O 0.7663 0.2206 0.9542  1 Mg 2.12, 3 Ag 2.16-2.20
O 0.7663 0.8121 0.5458  1 Mg 2.12, 3 Ag 2.16-2.20

## Properties
Density of states at the Fermi level, states/eV/f.u.: 3.3
Space-group type: Imma

---

(c)
DFT (GGA-PBE) results for a geometry-optimized MgAg2O4 structure.

abc: 6.6683 5.6542 11.8128
angles: 90.00 116.23 90.00
Closest atoms and distances in Å follow each position.
Positions (direct):
Mg 0.0000 0.0888 0.2500  4 O 1.99-2.07
Mg 0.0000 0.9112 0.7500  4 O 1.99-2.07
Mg 0.5000 0.3724 0.7500  6 O 2.02-2.17
Mg 0.5000 0.6276 0.2500  6 O 2.02-2.17
Ag 0.0000 0.5000 0.0000  4 O 2.06-2.07
Ag 0.0000 0.5000 0.5000  4 O 2.06-2.07
Ag 0.2436 0.0360 0.0407  3 O 2.15-2.40
Ag 0.2436 0.9640 0.5407  3 O 2.15-2.40
Ag 0.5000 0.5000 0.0000  4 O 2.19-2.30
Ag 0.5000 0.5000 0.5000  4 O 2.19-2.30
Ag 0.7564 0.0360 0.4593  3 O 2.15-2.40
Ag 0.7564 0.9640 0.9593  3 O 2.15-2.40
O 0.1242 0.2603 0.4142  1 Mg 1.99, 2 Ag 2.07-2.15
O 0.1242 0.7397 0.9142  1 Mg 1.99, 2 Ag 2.07-2.15
O 0.2274 0.1510 0.7408  1 O 1.47
O 0.2274 0.8490 0.2408  1 O 1.47
O 0.3243 0.3965 0.1106  1 Mg 2.02, 3 Ag 2.06-2.19
O 0.3243 0.6035 0.6106  1 Mg 2.02, 3 Ag 2.06-2.19
O 0.4094 0.1760 0.8691  1 O 1.47
O 0.4094 0.8240 0.3691  1 O 1.47
O 0.5906 0.1760 0.6309  1 O 1.47
O 0.5906 0.8240 0.1309  1 O 1.47
O 0.6757 0.3965 0.3894  1 Mg 2.02, 3 Ag 2.06-2.19
O 0.6757 0.6035 0.8894  1 Mg 2.02, 3 Ag 2.06-2.19
O 0.7726 0.1510 0.7592  1 O 1.47
O 0.7726 0.8490 0.2592  1 O 1.47
O 0.8758 0.2603 0.0858  1 Mg 1.99, 2 Ag 2.07-2.15
O 0.8758 0.7397 0.5858  1 Mg 1.99, 2 Ag 2.07-2.15

## Properties
Density of states at the Fermi level, states/eV/f.u.: 3.1
Space-group type: P2/c

---

(d)
DFT (GGA-PBE) results for a geometry-optimized MgAg2O4 structure.

abc: 6.5240 6.5240 6.5240
angles: 127.97 127.97 76.68
Closest atoms and distances in Å follow each position.
Positions (direct):
Mg 0.3750 0.1250 0.2500  4 O 2.16
Mg 0.6250 0.8750 0.7500  4 O 2.16
Ag 0.0000 0.0000 0.5000  4 O 2.03-2.05
Ag 0.0000 0.5000 0.0000  4 O 2.03-2.05
Ag 0.0000 0.5000 0.5000  4 O 2.03-2.05
Ag 0.5000 0.5000 0.0000  4 O 2.03-2.05
O 0.0091 0.8975 0.7458  2 Ag 2.03-2.05, 1 Mg 2.16
O 0.2367 0.4909 0.3883  2 Ag 2.03-2.05, 1 Mg 2.16
O 0.3483 0.7367 0.2458  2 Ag 2.03-2.05, 1 Mg 2.16
O 0.3975 0.1517 0.8883  2 Ag 2.03-2.05, 1 Mg 2.16
O 0.6025 0.8483 0.1117  2 Ag 2.03-2.05, 1 Mg 2.16
O 0.6517 0.2633 0.7542  2 Ag 2.03-2.05, 1 Mg 2.16
O 0.7633 0.5091 0.6117  2 Ag 2.03-2.05, 1 Mg 2.16
O 0.9909 0.1025 0.2542  2 Ag 2.03-2.05, 1 Mg 2.16

## Properties
Space-group type: I4_1/a

---

The structure with the most favorable energy is (d); the runner-up is 0.059 eV/atom above it.

---

(a)
DFT (GGA-PBE) results for a geometry-optimized MgAgP2O structure.

abc: 4.9358 4.9358 3.9400
angles: 90.00 90.00 90.00
Closest atoms and distances in Å follow each position.
Positions (direct):
Mg 0.0000 0.0000 0.0000  8 P 3.16, 4 O 3.49
Ag 0.5000 0.5000 0.5000  2 O 1.97
P 0.0000 0.5000 0.5000  2 Ag 2.47
P 0.5000 0.0000 0.5000  2 Ag 2.47
O 0.5000 0.5000 0.0000  2 Ag 1.97

## Properties
Density of states at the Fermi level, states/eV/f.u.: 5.2
Space-group type: P4/mmm

---

(b)
DFT (GGA-PBE) results for a geometry-optimized MgAgP2O structure.

abc: 5.0478 5.0478 3.6139
angles: 90.00 90.00 90.00
Closest atoms and distances in Å follow each position.
Positions (direct):
Mg 0.0000 0.0000 0.0000  2 O 1.81
Ag 0.5000 0.5000 0.5000  8 P 3.10
P 0.0000 0.5000 0.0000  2 Mg 2.52
P 0.5000 0.0000 0.0000  2 Mg 2.52
O 0.0000 0.0000 0.5000  2 Mg 1.81

## Properties
Density of states at the Fermi level, states/eV/f.u.: 3.8
Space-group type: P4/mmm

---

The structure with the most favorable energy is (b); the runner-up is 0.229 eV/atom above it.

---

(a)
DFT (GGA-PBE) results for a geometry-optimized MgAgPO2 structure.

abc: 3.8302 3.8302 5.6563
angles: 90.00 90.00 90.00
Closest atoms and distances in Å follow each position.
Positions (direct):
Mg 0.0000 0.0000 0.0000  4 O 1.92
Ag 0.5000 0.5000 0.5000  4 P 2.71
P 0.0000 0.0000 0.5000  4 Ag 2.71, 2 Mg 2.83
O 0.0000 0.5000 0.0000  2 Mg 1.92
O 0.5000 0.0000 0.0000  2 Mg 1.92

## Properties
Density of states at the Fermi level, states/eV/f.u.: 3.1
Space-group type: P4/mmm

---

(b)
DFT (GGA-PBE) results for a geometry-optimized MgAgPO2 structure.

abc: 4.0453 4.0453 4.9275
angles: 90.00 90.00 90.00
Closest atoms and distances in Å follow each position.
Positions (direct):
Mg 0.0000 0.0000 0.0000  4 P 2.86, 8 O 3.19
Ag 0.5000 0.5000 0.5000  4 O 2.02
P 0.5000 0.5000 0.0000  2 Ag 2.46
O 0.0000 0.5000 0.5000  2 Ag 2.02
O 0.5000 0.0000 0.5000  2 Ag 2.02

## Properties
Density of states at the Fermi level, states/eV/f.u.: 4.6
Space-group type: P4/mmm

---

The structure with the most favorable energy is (a); the runner-up is 0.379 eV/atom above it.